[1]
First-principles (PBE) data for an optimized crystal structure of CoHg4Os, as listed in the Alexandria database. Values from VASP.

Geometry as Quantum ESPRESSO input:
```
&SYSTEM
  ibrav = 0, nat = 6, ntyp = 3
/
ATOMIC_SPECIES
Hg 200.59 Hg.upf
Co 58.93 Co.upf
Os 190.23 Os.upf
CELL_PARAMETERS angstrom
-1.503 -4.938 2.075
-2.501 -0.288 4.960
-5.385 -1.358 0.325
ATOMIC_POSITIONS crystal
Hg 0.375 0.375 0.375
Hg 0.875 0.375 0.375
Co 0.000 0.000 0.000
Hg 0.375 0.375 0.875
Os 0.750 0.750 0.750
Hg 0.375 0.875 0.375
```

E_tot: -12.09 eV per cell
ΔH_f (0 K): 1242 meV/atom
space group: F-43m, No. 216

=====

[2]
First-principles (PBE) data for an optimized crystal structure of CoHgOs2, as listed in the Alexandria database. Values from VASP.

Geometry as Quantum ESPRESSO input:
```
&SYSTEM
  ibrav = 0, nat = 4, ntyp = 3
/
ATOMIC_SPECIES
Hg 200.59 Hg.upf
Co 58.93 Co.upf
Os 190.23 Os.upf
CELL_PARAMETERS angstrom
4.202 0.000 0.000
0.000 3.765 0.000
0.000 0.000 3.765
ATOMIC_POSITIONS crystal
Hg 0.500 0.000 0.500
Co 0.500 0.500 0.000
Os 0.000 0.500 0.500
Os 0.000 0.000 0.000
```

E_tot: -26.32 eV per cell
ΔH_f (0 K): 887 meV/atom
space group: P4/mmm, No. 123

=====

[3]
First-principles (PBE) data for an optimized crystal structure of CoHgOs2, as listed in the Alexandria database. Values from VASP.

Geometry as Quantum ESPRESSO input:
```
&SYSTEM
  ibrav = 0, nat = 4, ntyp = 3
/
ATOMIC_SPECIES
Os 190.23 Os.upf
Hg 200.59 Hg.upf
Co 58.93 Co.upf
CELL_PARAMETERS angstrom
-0.017 -1.200 -2.461
1.732 -0.904 1.918
-6.583 -6.149 3.045
ATOMIC_POSITIONS crystal
Os 0.000 0.000 0.030
Os 0.000 0.000 0.470
Hg 0.500 0.500 0.750
Co 0.500 0.500 0.250
```

E_tot: -26.79 eV per cell
ΔH_f (0 K): 769 meV/atom
space group: Cmmm, No. 65

=====

[4]
First-principles (PBE) data for an optimized crystal structure of CoHgOs2, as listed in the Alexandria database. Values from VASP.

Geometry as Quantum ESPRESSO input:
```
&SYSTEM
  ibrav = 0, nat = 4, ntyp = 3
/
ATOMIC_SPECIES
Os 190.23 Os.upf
Hg 200.59 Hg.upf
Co 58.93 Co.upf
CELL_PARAMETERS angstrom
2.754 -0.004 0.000
-1.317 2.419 0.000
0.000 0.000 9.352
ATOMIC_POSITIONS crystal
Os 0.000 0.000 0.021
Hg 0.500 0.500 0.738
Co 0.000 0.000 0.482
Os 0.500 0.500 0.259
```

E_tot: -26.93 eV per cell
ΔH_f (0 K): 735 meV/atom
space group: Cmm2, No. 35